## KIn2Ir (PBE)

Data for an optimized crystal structure of KIn2Ir.

```
KIn2Ir
1.0
-0.3056 1.4271 -4.8445
0.3744 -3.4499 -3.6820
-4.0706 -1.2219 -2.7453
In Ir K
2 1 1
Direct
0.2500 0.2500 0.2500
0.0000 0.0000 0.0000
0.5000 0.5000 0.5000
0.7500 0.7500 0.7500
```

Calculated values
The calculation puts the distance to the lowest polymorph of the same formula at 2.12 eV/f.u. The calculation puts the formation energy at 0.5165 eV/atom. Its symmetry is No. 216.